# 1
# Co5RuO8

A geometry-optimized Co5RuO8 structure (PBE+U, Alexandria).

Lattice parameters (Å, degrees): 6.0070 6.0070 14.7990 90.00 90.00 120.00
With the nearest neighbours (Å) after each atom.
Space group R-3m (No. 166, hexagonal axes)
Inequivalent atoms, fractional coordinates:
Co 0.0000 0.0000 0.1334 x6  4 O 1.95-1.98
Co 0.0000 0.5000 0.0000 x9  6 O 2.01-2.12
Ru 0.0000 0.0000 0.5000 x3  6 O 1.99
O 0.0000 0.0000 0.2650 x6  4 Co 1.95-2.01
O 0.0238 0.5119 0.2459 x18  3 Co 1.98-2.12, 1 Ru 1.99

Summary:
M_tot   16.62 μB/f.u.
Crystal system   trigonal

# 2
# Co2RuO4

A geometry-optimized Co2RuO4 structure (PBE+U, Alexandria).

Lattice parameters (Å, degrees): 10.5583 6.0745 10.4164 90.00 109.28 90.00
With the nearest neighbours (Å) after each atom.
Space group C2/c (No. 15)
Inequivalent atoms, fractional coordinates:
Co 0.0000 0.0000 0.0000 x4  6 O 2.09-2.16
Co 0.1835 0.2345 0.3082 x8  4 O 1.96-2.00
Co 0.2500 0.2500 0.0000 x4  6 O 2.08-2.17
Ru 0.0000 0.2633 0.7500 x4  6 O 2.01-2.06
Ru 0.0000 0.5000 0.0000 x4  6 O 2.02-2.06
O 0.1145 0.0310 0.8715 x8  3 Co 1.97-2.09, 1 Ru 2.01
O 0.1160 0.2624 0.6246 x8  2 Co 2.00-2.16, 2 Ru 2.05-2.06
O 0.1175 0.2584 0.1096 x8  3 Co 1.96-2.09, 1 Ru 2.02
O 0.1176 0.4990 0.8769 x8  2 Co 1.99-2.17, 2 Ru 2.06

Summary:
M_tot   8.02 μB/f.u.
Energy relative to the lowest polymorph listed for this composition   0.000 eV/atom
Crystal system   monoclinic

# 3
# Co2RuO4

A geometry-optimized Co2RuO4 structure (PBE+U, Alexandria).

Lattice parameters (Å, degrees): 5.5697 5.9697 8.7637 90.00 90.00 90.00
With the nearest neighbours (Å) after each atom.
Space group Imma (No. 74)
Inequivalent atoms, fractional coordinates:
Co 0.0000 0.0000 0.0000 x4  6 O 1.94-1.96
Co 0.0000 0.2500 0.3712 x4  4 O 1.97-1.99
Ru 0.2500 0.2500 0.7500 x4  6 O 2.06-2.08
O 0.0000 0.0003 0.2212 x8  2 Co 1.94-1.99, 2 Ru 2.06
O 0.2267 0.2500 0.9866 x8  3 Co 1.96-1.97, 1 Ru 2.08

Summary:
M_tot   2.73 μB/f.u.
Energy relative to the lowest polymorph listed for this composition   0.030 eV/atom
Crystal system   orthorhombic

DFT total energy
In order: -264.663 -367.971 -183.138
Unit: eV/cell